No. 1
Here is La8Mg3Os2 after structural relaxation from Alexandria via LeMat-Bulk. Energies are from GGA-PBE.

Properties
**Space-group type**: C2/m (12)
**Energy of formation from the pure elements**: -0.0310 eV per atom

a = 10.7220 Å, b = 10.7220 Å, c = 3.9836 Å
α = 94.33°, β = 94.33°, γ = 60.96°
Fractional positions:
La  0.0322  0.6169  0.2780
La  0.0724  0.0724  0.2637
La  0.3318  0.3318  0.8067
La  0.3831  0.9678  0.7220
La  0.6169  0.0322  0.2780
La  0.6682  0.6682  0.1933
La  0.9276  0.9276  0.7363
La  0.9678  0.3831  0.7220
Mg  0.2783  0.7217  0.0000
Mg  0.5000  0.5000  0.5000
Mg  0.7217  0.2783  0.0000
Os  0.2214  0.2214  0.2480
Os  0.7786  0.7786  0.7520

---

No. 2
Here is La3MgOs after structural relaxation from Alexandria via LeMat-Bulk. Energies are from GGA-PBE.

Properties
**Space-group type**: P2_1/m (11)
**Energy of formation from the pure elements**: -0.1140 eV per atom

a = 6.3541 Å, b = 7.1545 Å, c = 7.3674 Å
α = 90.00°, β = 110.55°, γ = 90.00°
Fractional positions:
La  0.0303  0.2500  0.3718
La  0.4541  0.5083  0.2327
La  0.4541  0.9917  0.2327
La  0.5459  0.0083  0.7673
La  0.5459  0.4917  0.7673
La  0.9697  0.7500  0.6282
Mg  0.0672  0.2500  0.8584
Mg  0.9328  0.7500  0.1416
Os  0.3013  0.7500  0.4736
Os  0.6987  0.2500  0.5264

---

No. 3
Here is La3MgOs after structural relaxation from Alexandria via LeMat-Bulk. Energies are from GGA-PBE.

Properties
**Space-group type**: C2/m (12)
**Energy of formation from the pure elements**: -0.0200 eV per atom

a = 8.5207 Å, b = 8.5207 Å, c = 7.0137 Å
α = 92.27°, β = 92.27°, γ = 39.61°
Fractional positions:
La  0.0178  0.0178  0.2601
La  0.1944  0.1944  0.9268
La  0.3328  0.3328  0.4701
La  0.6672  0.6672  0.5299
La  0.8056  0.8056  0.0732
La  0.9822  0.9822  0.7399
Mg  0.4100  0.4100  0.9894
Mg  0.5900  0.5900  0.0106
Os  0.1429  0.1429  0.5546
Os  0.8571  0.8571  0.4454

---

No. 4
Here is La3MgOs after structural relaxation from Alexandria via LeMat-Bulk. Energies are from GGA-PBE.

Properties
**Space-group type**: P6_3/mmc (194)
**Energy of formation from the pure elements**: 0.1887 eV per atom

a = 4.5796 Å, b = 4.5796 Å, c = 17.6628 Å
α = 90.00°, β = 90.00°, γ = 120.00°
Fractional positions:
La  0.0000  0.0000  0.2500
La  0.0000  0.0000  0.7500
La  0.3333  0.6667  0.1234
La  0.3333  0.6667  0.3766
La  0.6667  0.3333  0.6234
La  0.6667  0.3333  0.8766
Mg  0.0000  0.0000  0.0000
Mg  0.0000  0.0000  0.5000
Os  0.3333  0.6667  0.7500
Os  0.6667  0.3333  0.2500

---

No. 5
Here is La3MgOs after structural relaxation from Alexandria via LeMat-Bulk. Energies are from GGA-PBE.

Properties
**Space-group type**: R-3 (148)
**Energy of formation from the pure elements**: 0.0135 eV per atom

a = 8.0841 Å, b = 8.0841 Å, c = 8.0841 Å
α = 56.52°, β = 56.52°, γ = 56.52°
Fractional positions:
La  0.0582  0.1192  0.5861
La  0.1192  0.5861  0.0582
La  0.4139  0.9418  0.8808
La  0.5861  0.0582  0.1192
La  0.8808  0.4139  0.9418
La  0.9418  0.8808  0.4139
Mg  0.4010  0.4010  0.4010
Mg  0.5990  0.5990  0.5990
Os  0.1704  0.1704  0.1704
Os  0.8296  0.8296  0.8296

---

No. 6
Here is La3MgOs after structural relaxation from Alexandria via LeMat-Bulk. Energies are from GGA-PBE.

Properties
**Space-group type**: Amm2 (38)
**Energy of formation from the pure elements**: 0.5121 eV per atom

a = 4.0021 Å, b = 9.6364 Å, c = 9.6364 Å
α = 47.37°, β = 90.00°, γ = 90.00°
Fractional positions:
La  0.0000  0.0000  0.0000
La  0.5000  0.0721  0.5862
La  0.5000  0.5862  0.0721
Mg  0.5000  0.1612  0.1612
Os  0.0000  0.8540  0.8540

---

No. 7
Here is La3MgOs after structural relaxation from Alexandria via LeMat-Bulk. Energies are from GGA-PBE.

Properties
**Space-group type**: P-1 (2)
**Energy of formation from the pure elements**: -0.0949 eV per atom

a = 5.8871 Å, b = 7.0596 Å, c = 9.3307 Å
α = 70.02°, β = 89.96°, γ = 65.45°
Fractional positions:
La  0.1074  0.2845  0.2244
La  0.1516  0.1953  0.6534
La  0.3715  0.7601  0.0771
La  0.6285  0.2399  0.9229
La  0.8484  0.8047  0.3466
La  0.8926  0.7155  0.7756
Mg  0.3991  0.7022  0.5519
Mg  0.6009  0.2978  0.4481
Os  0.1243  0.2483  0.9246
Os  0.8757  0.7517  0.0754

---

No. 8
Here is La2MgOs after structural relaxation from Alexandria via LeMat-Bulk. Energies are from GGA-PBE.

Properties
**Space-group type**: Imm2 (44)
**Energy of formation from the pure elements**: 0.0017 eV per atom

a = 7.0344 Å, b = 7.0344 Å, c = 7.0344 Å
α = 151.52°, β = 137.87°, γ = 51.64°
Fractional positions:
La  0.0000  0.0000  0.0000
La  0.6924  0.1924  0.5000
Mg  0.3318  0.8318  0.5000
Os  0.5064  0.5064  0.0000

---

No. 9
Here is La2MgOs after structural relaxation from Alexandria via LeMat-Bulk. Energies are from GGA-PBE.

Properties
**Space-group type**: I-4m2 (119)
**Energy of formation from the pure elements**: 0.1414 eV per atom

a = 5.0709 Å, b = 5.0709 Å, c = 5.0709 Å
α = 119.95°, β = 119.95°, γ = 90.08°
Fractional positions:
La  0.0000  0.0000  0.0000
La  0.7500  0.2500  0.5000
Mg  0.5000  0.5000  0.0000
Os  0.2500  0.7500  0.5000

---

No. 10
Here is La3MgOs after structural relaxation from Alexandria via LeMat-Bulk. Energies are from GGA-PBE.

Properties
**Space-group type**: P6_3/mmc (194)
**Energy of formation from the pure elements**: 0.5730 eV per atom

a = 4.9172 Å, b = 4.9172 Å, c = 17.0176 Å
α = 90.00°, β = 90.00°, γ = 120.00°
Fractional positions:
La  0.0000  0.0000  0.2500
La  0.0000  0.0000  0.7500
La  0.3333  0.6667  0.0609
La  0.3333  0.6667  0.4391
La  0.6667  0.3333  0.5609
La  0.6667  0.3333  0.9391
Mg  0.3333  0.6667  0.2500
Mg  0.6667  0.3333  0.7500
Os  0.0000  0.0000  0.0000
Os  0.0000  0.0000  0.5000

---

No. 11
Here is La3MgOs after structural relaxation from Alexandria via LeMat-Bulk. Energies are from GGA-PBE.

Properties
**Space-group type**: C2/m (12)
**Energy of formation from the pure elements**: -0.0344 eV per atom

a = 9.2090 Å, b = 9.2090 Å, c = 7.7349 Å
α = 111.41°, β = 111.41°, γ = 30.48°
Fractional positions:
La  0.0419  0.0419  0.2479
La  0.2823  0.2823  0.6950
La  0.3854  0.3854  0.3050
La  0.6146  0.6146  0.6950
La  0.7177  0.7177  0.3050
La  0.9581  0.9581  0.7521
Mg  0.1692  0.1692  0.0012
Mg  0.8308  0.8308  0.9988
Os  0.4292  0.4292  0.9964
Os  0.5708  0.5708  0.0036

---

No. 12
Here is La3MgOs after structural relaxation from Alexandria via LeMat-Bulk. Energies are from GGA-PBE.

Properties
**Space-group type**: Pnma (62)
**Energy of formation from the pure elements**: -0.0763 eV per atom

a = 6.9085 Å, b = 9.7934 Å, c = 8.7222 Å
α = 90.00°, β = 90.00°, γ = 90.00°
Fractional positions:
La  0.0634  0.0491  0.1953
La  0.0634  0.4509  0.1953
La  0.1970  0.7500  0.4103
La  0.3030  0.2500  0.9103
La  0.4366  0.5491  0.6953
La  0.4366  0.9509  0.6953
La  0.5634  0.0491  0.3047
La  0.5634  0.4509  0.3047
La  0.6970  0.7500  0.0897
La  0.8030  0.2500  0.5897
La  0.9366  0.5491  0.8047
La  0.9366  0.9509  0.8047
Mg  0.2455  0.2500  0.5022
Mg  0.2545  0.7500  0.0022
Mg  0.7455  0.2500  0.9978
Mg  0.7545  0.7500  0.4978
Os  0.0000  0.0000  0.5000
Os  0.0000  0.5000  0.5000
Os  0.5000  0.0000  0.0000
Os  0.5000  0.5000  0.0000

---

What is the formula in the first record?
La8Mg3Os2

---

Among the records above, which one has the highest energy of formation from the pure elements?
number 10